(1)
First-principles (PBE-GGA) data for crystalline Ba2Li4HgSb3 at its relaxed geometry, as listed in Alexandria.

Cell and atoms, written as POSCAR:
```
Ba2Li4HgSb3
1.0
4.893 0.000 0.000
0.000 4.893 0.000
0.000 0.000 11.215
Ba Li Hg Sb
2 4 1 3
Direct
0.000 0.500 0.236
0.500 0.000 0.764
0.000 0.000 0.000
0.000 0.500 0.622
0.500 0.000 0.378
0.500 0.500 0.000
0.000 0.000 0.500
0.000 0.500 0.866
0.500 0.000 0.134
0.500 0.500 0.500
```

Output
formation energy (no corrections)	-0.7332	eV per atom
SG	No. 115
crystal system	tetragonal

(2)
First-principles (PBE-GGA) data for crystalline CoReS2 at its relaxed geometry, as listed in Alexandria.

Cell and atoms, written as POSCAR:
```
CoReS2
1.0
0.000 2.944 2.944
2.944 0.000 2.944
2.944 2.944 0.000
Co Re S
1 1 2
Direct
0.000 0.000 0.000
0.500 0.500 0.500
0.250 0.250 0.250
0.750 0.750 0.750
```

Output
formation energy (no corrections)	0.2621	eV per atom
excess energy over the best structure of this formula in the dataset	317.9	meV/atom
SG	No. 225
crystal system	cubic

(3)
First-principles (PBE-GGA) data for crystalline ZnCu4O6 at its relaxed geometry, as listed in Alexandria.

Cell and atoms, written as POSCAR:
```
ZnCu4O6
1.0
1.473 -4.921 0.000
1.473 4.921 0.000
0.000 0.000 14.703
Zn Cu O
2 8 12
Direct
0.163 0.837 0.750
0.837 0.163 0.250
0.091 0.909 0.135
0.091 0.909 0.365
0.361 0.639 0.045
0.361 0.639 0.455
0.639 0.361 0.545
0.639 0.361 0.955
0.909 0.091 0.635
0.909 0.091 0.865
0.000 0.000 0.000
0.000 0.000 0.500
0.194 0.806 0.250
0.287 0.713 0.577
0.287 0.713 0.923
0.448 0.552 0.159
0.448 0.552 0.341
0.552 0.448 0.659
0.552 0.448 0.841
0.713 0.287 0.077
0.713 0.287 0.423
0.806 0.194 0.750
```

Output
formation energy (no corrections)	-0.5678	eV per atom
SG	No. 63
crystal system	orthorhombic

(4)
First-principles (PBE-GGA) data for crystalline Mg2FeHgPt at its relaxed geometry, as listed in Alexandria.

Cell and atoms, written as POSCAR:
```
Mg2FeHgPt
1.0
4.997 0.000 0.000
0.000 4.997 0.000
0.000 0.000 5.089
Mg Fe Hg Pt
2 1 1 1
Direct
0.000 0.500 0.000
0.500 0.000 0.000
0.000 0.000 0.500
0.500 0.500 0.000
0.500 0.500 0.500
```

Output
formation energy from the elements	935	meV per atom
SG	No. 123
crystal system	tetragonal

(5)
First-principles (PBE-GGA) data for crystalline LiYSe2 at its relaxed geometry, as listed in Alexandria.

Cell and atoms, written as POSCAR:
```
LiYSe2
1.0
2.113 1.220 7.838
-2.113 1.220 7.838
0.000 -2.440 7.838
Li Y Se
1 1 2
Direct
0.000 0.000 0.000
0.500 0.500 0.500
0.101 0.101 0.101
0.899 0.899 0.899
```

Output
formation energy (no corrections)	-1.5602	eV per atom
SG	No. 166
crystal system	trigonal

(6)
First-principles (PBE-GGA) data for crystalline BeCuSi at its relaxed geometry, as listed in Alexandria.

Cell and atoms, written as POSCAR:
```
BeCuSi
1.0
-1.539 1.940 3.081
1.539 -1.940 3.081
1.539 1.940 -3.081
Be Cu Si
1 1 1
Direct
0.000 0.000 0.000
0.296 0.796 0.500
0.590 0.590 0.000
```

Output
formation energy (no corrections)	0.0690	eV per atom
excess energy over the best structure of this formula in the dataset	26.6	meV/atom
SG	No. 44
crystal system	orthorhombic